Material: TmSiO3
Method: DFT, GGA-PBE
State: relaxed

Values from the calculation:
- Total energy: -0.270 Ha/atom
- V: 104 Å³ per cell

Cell and atoms, written as extended XYZ:
```
10
Lattice="1.792 -3.832 3.121 -5.193 0.727 -0.378 2.645 -1.912 -4.121" Properties=species:S:1:pos:R:3 pbc="T T T"
O -1.731 -0.756 -0.384
O -0.244 -2.672 0.842
O 2.249 -3.668 1.256
O 2.188 -2.076 -2.255
O -0.511 -2.345 -2.220
O 0.975 -4.260 -0.994
Si -1.701 -1.552 1.371
Si -1.274 -0.592 -2.250
Tm -4.028 -0.658 -0.673
Tm 3.272 -4.359 -0.705
```

Material: ZnMo
Method: DFT, GGA-PBE
State: relaxed

Values from the calculation:
- Total energy: -0.217 Ha/atom
- Excess energy over the best structure of this formula in the dataset: 0.095 eV/atom
- Calculated formation energy: 0.16 eV per atom
- V: 121 Å³ per cell

Cell and atoms, written as extended XYZ:
```
8
Lattice="9.922 0.000 0.000 0.000 2.653 0.000 0.000 0.000 4.583" Properties=species:S:1:pos:R:3 pbc="T T T"
Mo 5.165 0.000 0.000
Mo 2.495 1.327 0.000
Mo 6.600 0.000 2.292
Mo 3.930 1.327 2.292
Zn 0.039 0.000 0.000
Zn 7.602 1.327 0.000
Zn 1.494 0.000 2.292
Zn 9.057 1.327 2.292
```

Material: TmAgGeSe3
Method: DFT, GGA-PBE
State: relaxed

Values from the calculation:
- Total energy: -0.164 Ha/atom
- V: 281 Å³ per cell

Cell and atoms, written as extended XYZ:
```
12
Lattice="-2.582 -0.606 6.387 -5.028 -2.595 3.975 5.754 -8.875 1.484" Properties=species:S:1:pos:R:3 pbc="T T T"
Ag -2.173 -3.738 5.288
Ag 0.317 -8.338 6.558
Ge -4.401 -4.675 8.322
Ge 2.545 -7.401 3.524
Se -2.344 -1.659 3.747
Se 0.608 -2.568 1.503
Se -0.153 -5.039 4.312
Se -1.703 -7.038 7.534
Se -2.463 -9.508 10.344
Se 0.488 -10.417 8.099
Tm 0.000 0.000 0.000
Tm 2.877 -4.437 0.742
```

Material: MgHgAsO
Method: DFT, GGA-PBE
State: relaxed

Values from the calculation:
- Total energy: -0.137 Ha/atom
- Excess energy over the best structure of this formula in the dataset: 0.000 eV/atom
- V: 162 Å³ per cell

Cell and atoms, written as extended XYZ:
```
8
Lattice="-1.554 -0.830 3.693 -2.514 -2.758 -1.678 6.695 -6.877 1.271" Properties=species:S:1:pos:R:3 pbc="T T T"
As -1.009 -4.789 1.899
As 3.635 -5.676 1.387
Hg 1.553 -4.751 2.986
Hg 1.073 -5.714 0.301
Mg -1.017 -0.897 0.504
Mg -3.051 -2.691 1.512
O -1.794 -1.312 2.350
O -2.274 -2.276 -0.335
```

Material: TbHoBi2S2
Method: DFT, GGA-PBE
State: relaxed

Values from the calculation:
- Total energy: -0.201 Ha/atom
- V: 154 Å³ per cell

Cell and atoms, written as extended XYZ:
```
6
Lattice="-1.575 -3.822 -0.812 1.628 -1.437 3.610 -7.321 2.135 4.151" Properties=species:S:1:pos:R:3 pbc="T T T"
Bi -0.794 -1.909 -0.402
Bi 0.807 -0.717 1.809
Ho -2.283 -1.956 2.709
S -2.728 0.795 1.547
S -4.550 -1.295 3.994
Tb -5.015 1.462 2.843
```

Material: LaSmGa2Cl2
Method: DFT, GGA-PBE
State: relaxed

Values from the calculation:
- Total energy: -0.171 Ha/atom
- V: 169 Å³ per cell

Cell and atoms, written as extended XYZ:
```
6
Lattice="4.216 0.000 0.000 -2.108 3.651 0.000 0.000 0.000 10.954" Properties=species:S:1:pos:R:3 pbc="T T T"
Cl 2.108 1.217 1.690
Cl 0.000 2.434 9.184
Ga 0.000 2.434 5.192
Ga 2.108 1.217 5.843
La 0.000 0.000 3.331
Sm 0.000 0.000 7.620
```

Material: TmNbMo
Method: DFT, GGA-PBE
State: relaxed

Values from the calculation:
- Total energy: -0.281 Ha/atom
- Excess energy over the best structure of this formula in the dataset: 0.000 eV/atom
- Calculated formation energy: 0.83 eV per atom
- V: 67 Å³ per cell

Cell and atoms, written as extended XYZ:
```
3
Lattice="-0.841 2.247 3.885 -4.098 1.887 0.704 -2.833 -1.787 3.103" Properties=species:S:1:pos:R:3 pbc="T T T"
Mo -1.943 0.587 1.923
Nb 0.000 0.000 0.000
Tm -5.829 1.760 5.769
```

Material: AcGeW
Method: DFT, GGA-PBE
State: relaxed

Values from the calculation:
- Total energy: -0.207 Ha/atom
- Excess energy over the best structure of this formula in the dataset: 0.819 eV/atom
- V: 94 Å³ per cell

Cell and atoms, written as extended XYZ:
```
3
Lattice="0.000 3.613 3.613 3.613 0.000 3.613 3.613 3.613 0.000" Properties=species:S:1:pos:R:3 pbc="T T T"
Ac 0.000 0.000 0.000
Ge 1.806 1.806 1.806
W 5.419 5.419 5.419
```